No. 1
The following is a PBE-GGA calculation of a relaxed Tl2Cd2Bi crystal, from Alexandria.

a b c (Å): 4.053 4.053 9.948
angles (deg): 78.24 78.24 90.00
Fractional positions:
1 Tl 0.400 0.400 0.200
2 Tl 0.600 0.600 0.800
3 Bi 0.000 0.000 0.000
4 Cd 0.750 0.250 0.500
5 Cd 0.250 0.750 0.500

## Properties
For the total energy, the calculation gives -9.9 eV for the cell shown. The value obtained for the energy relative to the lowest polymorph listed for this composition is 0.076 eV/atom. Its space-group type is I4/mmm. The value obtained for the calculated density is 8.94 g/cm³. Its formation energy from the elements is 102 meV per atom. For the density of states at the Fermi level, the calculation gives 2.50 states/eV/f.u.

No. 2
The following is a PBE-GGA calculation of a relaxed SbOsPd2 crystal, from Alexandria.

a b c (Å): 3.857 3.857 9.936
angles (deg): 78.81 78.81 90.00
Fractional positions:
1 Sb 0.500 0.500 0.000
2 Sb 0.250 0.750 0.500
3 Os 0.000 0.000 0.000
4 Os 0.750 0.250 0.500
5 Pd 0.633 0.125 0.250
6 Pd 0.117 0.625 0.250
7 Pd 0.375 0.367 0.750
8 Pd 0.875 0.883 0.750

## Properties
For the total energy, the calculation gives -48.3 eV for the cell shown. Its space-group type is I-42d. The formation energy (no corrections) comes out at 400 meV per atom. The value obtained for the calculated density is 12.26 g/cm³. For the density of states at the Fermi level, the calculation gives 2.88 states/eV/f.u.

No. 3
The following is a PBE-GGA calculation of a relaxed Hf2ZnPt crystal, from Alexandria.

a b c (Å): 3.383 3.383 6.362
angles (deg): 90.00 90.00 90.00
Fractional positions:
1 Zn 0.500 0.500 0.500
2 Hf 0.000 0.000 0.751
3 Hf 0.000 0.000 0.249
4 Pt 0.500 0.500 0.000

## Properties
For the total energy, the calculation gives -29.6 eV for the cell shown. Its space-group type is P4/mmm. The value obtained for the calculated density is 14.08 g/cm³. Its formation energy from the elements is -601 meV per atom. For the density of states at the Fermi level, the calculation gives 2.66 states/eV/f.u.

No. 4
The following is a PBE-GGA calculation of a relaxed BaLi2Tm crystal, from Alexandria.

a b c (Å): 3.938 3.938 8.251
angles (deg): 90.00 90.00 90.00
Fractional positions:
1 Tm 0.500 0.500 0.000
2 Ba 0.500 0.500 0.500
3 Li 0.000 0.000 0.795
4 Li 0.000 0.000 0.205

## Properties
For the total energy, the calculation gives -9.5 eV for the cell shown. Its space-group type is P4/mmm. The value obtained for the calculated density is 4.16 g/cm³. Its formation energy from the elements is 180 meV per atom. For the density of states at the Fermi level, the calculation gives 4.56 states/eV/f.u.

No. 5
The following is a PBE-GGA calculation of a relaxed Y2HfPd crystal, from Alexandria.

a b c (Å): 8.223 8.223 6.573
angles (deg): 51.28 51.28 90.00
Fractional positions:
1 Y 0.572 0.125 0.250
2 Y 0.178 0.625 0.250
3 Y 0.375 0.428 0.750
4 Y 0.875 0.822 0.750
5 Hf 0.000 0.000 0.000
6 Hf 0.750 0.250 0.500
7 Pd 0.500 0.500 0.000
8 Pd 0.250 0.750 0.500

## Properties
For the total energy, the calculation gives -55.9 eV for the cell shown. The value obtained for the energy relative to the lowest polymorph listed for this composition is 0.347 eV/atom. Its space-group type is I-42d. The value obtained for the calculated density is 7.41 g/cm³. Its formation energy from the elements is 25 meV per atom. For the density of states at the Fermi level, the calculation gives 2.95 states/eV/f.u.

No. 6
The following is a PBE-GGA calculation of a relaxed AcCdHg5 crystal, from Alexandria.

a b c (Å): 5.950 5.950 7.247
angles (deg): 102.01 102.00 117.38
Fractional positions:
1 Ac 0.000 0.000 0.000
2 Cd 0.500 0.500 0.500
3 Hg 0.625 0.137 0.249
4 Hg 0.137 0.625 0.249
5 Hg 0.000 0.000 0.500
6 Hg 0.863 0.375 0.751
7 Hg 0.375 0.863 0.751

## Properties
For the total energy, the calculation gives -7.8 eV for the cell shown. Its space-group type is C2/m. The value obtained for the calculated density is 10.67 g/cm³. Its formation energy from the elements is -184 meV per atom. For the density of states at the Fermi level, the calculation gives 2.37 states/eV/f.u.

No. 7
The following is a PBE-GGA calculation of a relaxed MnAl2Ir2 crystal, from Alexandria.

a b c (Å): 7.195 7.195 2.910
angles (deg): 90.00 90.00 90.00
Fractional positions:
1 Ir 0.350 0.850 0.000
2 Ir 0.850 0.650 0.000
3 Ir 0.650 0.150 0.000
4 Ir 0.150 0.350 0.000
5 Al 0.148 0.648 0.500
6 Al 0.648 0.852 0.500
7 Al 0.852 0.352 0.500
8 Al 0.352 0.148 0.500
9 Mn 0.000 0.000 0.000
10 Mn 0.500 0.500 0.000

## Properties
For the total energy, the calculation gives -74.2 eV for the cell shown. The value obtained for the energy relative to the lowest polymorph listed for this composition is 0.000 eV/atom. Its space-group type is P4/mbm. The value obtained for the calculated density is 10.88 g/cm³. Its formation energy from the elements is -543 meV per atom. For the density of states at the Fermi level, the calculation gives 2.46 states/eV/f.u.

No. 8
The following is a PBE-GGA calculation of a relaxed Pm3N2Cl crystal, from Alexandria.

a b c (Å): 3.704 6.783 10.668
angles (deg): 90.00 90.00 105.84
Fractional positions:
1 Pm 0.617 0.235 0.066
2 Pm 0.066 0.132 0.750
3 Pm 0.617 0.235 0.434
4 Pm 0.934 0.868 0.250
5 Pm 0.383 0.765 0.934
6 Pm 0.383 0.765 0.566
7 N 0.000 0.000 0.000
8 N 0.000 0.000 0.500
9 N 0.534 0.068 0.250
10 N 0.466 0.932 0.750
11 Cl 0.253 0.505 0.250
12 Cl 0.747 0.495 0.750

## Properties
For the total energy, the calculation gives -81.4 eV for the cell shown. Its space-group type is Cmcm. The formation energy (no corrections) comes out at -1329 meV per atom. The value obtained for the calculated density is 6.42 g/cm³. For the density of states at the Fermi level, the calculation gives 4.10 states/eV/f.u.

No. 9
The following is a PBE-GGA calculation of a relaxed K2Y2Bi2Se crystal, from Alexandria.

a b c (Å): 5.421 5.421 9.864
angles (deg): 105.95 105.95 90.00
Fractional positions:
1 K 0.184 0.184 0.368
2 K 0.816 0.816 0.632
3 Y 0.000 0.500 0.000
4 Y 0.500 0.000 0.000
5 Bi 0.388 0.388 0.775
6 Bi 0.612 0.612 0.225
7 Se 0.000 0.000 0.000

## Properties
For the total energy, the calculation gives -32.9 eV for the cell shown. Its space-group type is I4/mmm. The formation energy (no corrections) comes out at -929 meV per atom. The value obtained for the calculated density is 4.68 g/cm³. For the density of states at the Fermi level, the calculation gives 1.94 states/eV/f.u.

No. 10
The following is a PBE-GGA calculation of a relaxed InAgSb4 crystal, from Alexandria.

a b c (Å): 6.277 6.277 6.277
angles (deg): 60.00 60.00 60.00
Fractional positions:
1 In 0.000 0.000 0.000
2 Ag 0.750 0.750 0.750
3 Sb 0.875 0.375 0.375
4 Sb 0.375 0.375 0.875
5 Sb 0.375 0.875 0.375
6 Sb 0.375 0.375 0.375

## Properties
For the total energy, the calculation gives -20.3 eV for the cell shown. Its space-group type is F-43m. The formation energy (no corrections) comes out at 301 meV per atom. The value obtained for the calculated density is 6.74 g/cm³. For the density of states at the Fermi level, the calculation gives 3.07 states/eV/f.u.

No. 11
The following is a PBE-GGA calculation of a relaxed Mg5Mn crystal, from Alexandria.

a b c (Å): 5.387 5.387 5.001
angles (deg): 90.00 90.00 120.00
Fractional positions:
1 Mg 0.678 0.000 0.000
2 Mg 0.322 0.322 0.000
3 Mg 0.000 0.678 0.000
4 Mg 0.667 0.333 0.500
5 Mg 0.333 0.667 0.500
6 Mn 0.000 0.000 0.500

## Properties
For the total energy, the calculation gives -16.4 eV for the cell shown. Its space-group type is P-62m. The value obtained for the calculated density is 2.33 g/cm³. Its formation energy from the elements is 129 meV per atom. For the density of states at the Fermi level, the calculation gives 4.45 states/eV/f.u.

No. 12
The following is a PBE-GGA calculation of a relaxed KSmAgCl6 crystal, from Alexandria.

a b c (Å): 6.947 6.947 13.901
angles (deg): 90.00 90.00 120.00
Fractional positions:
1 K 0.000 0.000 0.000
2 K 0.000 0.000 0.500
3 Sm 0.333 0.667 0.250
4 Sm 0.667 0.333 0.750
5 Ag 0.667 0.333 0.250
6 Ag 0.333 0.667 0.750
7 Cl 0.633 0.626 0.139
8 Cl 0.992 0.367 0.139
9 Cl 0.367 0.992 0.639
10 Cl 0.008 0.633 0.861
11 Cl 0.374 0.367 0.361
12 Cl 0.992 0.626 0.361
13 Cl 0.626 0.992 0.861
14 Cl 0.633 0.008 0.361
15 Cl 0.008 0.374 0.639
16 Cl 0.374 0.008 0.139
17 Cl 0.626 0.633 0.639
18 Cl 0.367 0.374 0.861

## Properties
For the total energy, the calculation gives -67.2 eV for the cell shown. Its space-group type is P-31c. The formation energy (no corrections) comes out at -1538 meV per atom. The value obtained for the calculated density is 2.92 g/cm³. For the density of states at the Fermi level, the calculation gives 6.89 states/eV/f.u.

No. 13
The following is a PBE-GGA calculation of a relaxed CsTlSbI2 crystal, from Alexandria.

a b c (Å): 7.228 7.228 7.124
angles (deg): 90.00 90.00 90.00
Fractional positions:
1 Cs 0.000 0.000 0.000
2 I 0.000 0.500 0.000
3 I 0.500 0.000 0.000
4 Tl 0.500 0.500 0.500
5 Sb 0.000 0.000 0.500

## Properties
For the total energy, the calculation gives -10.1 eV for the cell shown. The value obtained for the energy relative to the lowest polymorph listed for this composition is 0.472 eV/atom. Its space-group type is P4/mmm. The formation energy (no corrections) comes out at 61 meV per atom. The value obtained for the calculated density is 3.18 g/cm³. For the density of states at the Fermi level, the calculation gives 0.06 states/eV/f.u.